A relaxed structure of La2SmYEr5, computed with GGA-PBE.

a = 8.649 Å, b = 8.649 Å, c = 9.964 Å
α = 115.72°, β = 115.72°, γ = 90.00°
Fractional coordinates of all 18 atoms:
Er  0.142  0.075  0.717
Er  0.500  0.500  0.000
Er  0.925  0.425  0.283
Er  0.642  0.142  0.717
Er  0.075  0.575  0.717
Er  0.425  0.358  0.283
Er  0.575  0.642  0.717
Er  0.858  0.925  0.283
Er  0.000  0.000  0.000
Er  0.358  0.858  0.283
La  0.883  0.617  0.000
La  0.617  0.117  0.000
La  0.383  0.883  0.000
La  0.117  0.383  0.000
Y  0.750  0.250  0.500
Y  0.250  0.750  0.500
Sm  0.750  0.750  0.500
Sm  0.250  0.250  0.500

Spin magnetization ... 0.00 μB per atom
ρ ... 7.6 g cm⁻³
E_form ... 256 meV per atom